Entry from the Alexandria database: crystalline Er2GeN at its relaxed geometry (PBE).

a b c (Å): 3.4943 3.4943 21.0928
angles (deg): 90.00 90.00 120.00
Space group R-3m (No. 166, hexagonal axes)
One atom of each set of equivalent atoms:
1 Er 0.0000 0.0000 0.2298 x6
2 Ge 0.0000 0.0000 0.0000 x3
3 N 0.0000 0.0000 0.5000 x3

Energy relative to the elements, uncorrected   -1193 meV per atom